Entry 1:
Compound: KTbIn4O8
Source: Alexandria via LeMat-Bulk
Functional: GGA-PBE
Structure: optimized geometry

The calculation puts the uncorrected energy at -5.81 eV per atom. The formation energy from raw total energies comes out at -1784 meV/atom. The value obtained for the total magnetization is 0.10 μB per cell.

The structure in CIF format:
```
data_KTbIn4O8
_chemical_formula_sum 'K1 Tb1 In4 O8'
_space_group_name_H-M_alt 'P 1'
_space_group_IT_number 1
_space_group_name_Hall 'P 1'
_cell_length_a 6.7254
_cell_length_b 6.7254
_cell_length_c 6.7727
_cell_angle_alpha 60.23
_cell_angle_beta 60.23
_cell_angle_gamma 60.00
loop_
_atom_site_label
_atom_site_fract_x
_atom_site_fract_y
_atom_site_fract_z
_atom_site_occupancy
O1 0.7535 0.7535 0.2648 1
O2 0.2343 0.2343 0.7225 1
O3 0.7535 0.2282 0.2648 1
In1 0.0041 0.4892 0.5027 1
O4 0.2282 0.7535 0.2648 1
O5 0.8089 0.2343 0.7225 1
In2 0.6211 0.6211 0.1368 1
In3 0.4892 0.0041 0.5027 1
O6 0.2309 0.2309 0.3072 1
O7 0.2343 0.8089 0.7225 1
O8 0.7586 0.7586 0.7242 1
In4 0.0041 0.0041 0.5027 1
Tb1 0.0040 0.0040 0.9880 1
K1 0.3754 0.3754 0.8737 1
```


Entry 2:
Compound: Sr2CaBP
Source: Alexandria via LeMat-Bulk
Functional: GGA-PBE
Structure: optimized geometry

The calculation puts the uncorrected energy at -3.44 eV per atom. The value obtained for the total magnetization is 0.00 μB per cell. The calculation puts the energy of formation at 1.2 kcal/mol of atoms.

The structure in CIF format:
```
data_Sr2CaBP
_chemical_formula_sum 'Sr2 Ca1 B1 P1'
_space_group_name_H-M_alt 'P 1'
_space_group_IT_number 1
_space_group_name_Hall 'P 1'
_cell_length_a 5.2694
_cell_length_b 5.1436
_cell_length_c 5.2694
_cell_angle_alpha 90.00
_cell_angle_beta 90.00
_cell_angle_gamma 90.00
loop_
_atom_site_label
_atom_site_fract_x
_atom_site_fract_y
_atom_site_fract_z
_atom_site_occupancy
Ca1 0.0000 0.5000 0.0000 1
Sr1 0.0000 0.0000 0.5000 1
Sr2 0.5000 0.0000 0.0000 1
P1 0.5000 0.5000 0.5000 1
B1 0.0000 0.0000 0.0000 1
```


Entry 3:
Compound: CaNbGe
Source: Alexandria via LeMat-Bulk
Functional: GGA-PBE
Structure: optimized geometry

The calculation puts the uncorrected energy at -5.81 eV per atom. The value obtained for the total magnetization is 0.02 μB per cell. The calculation puts the energy of formation at -5.7 kcal/mol of atoms.

The structure in CIF format:
```
data_CaNbGe
_chemical_formula_sum 'Ca4 Nb4 Ge4'
_space_group_name_H-M_alt 'P 1'
_space_group_IT_number 1
_space_group_name_Hall 'P 1'
_cell_length_a 3.9402
_cell_length_b 11.6428
_cell_length_c 5.9206
_cell_angle_alpha 90.00
_cell_angle_beta 90.00
_cell_angle_gamma 90.00
loop_
_atom_site_label
_atom_site_fract_x
_atom_site_fract_y
_atom_site_fract_z
_atom_site_occupancy
Ca1 0.0000 0.7020 0.2500 1
Nb1 0.5000 0.5000 0.0000 1
Nb2 0.5000 0.5000 0.5000 1
Ge1 0.0000 0.4072 0.2500 1
Ca2 0.5000 0.7980 0.7500 1
Nb3 0.0000 0.0000 0.0000 1
Ca3 0.0000 0.2980 0.7500 1
Ca4 0.5000 0.2020 0.2500 1
Ge2 0.0000 0.5928 0.7500 1
Ge3 0.5000 0.9072 0.2500 1
Nb4 0.0000 0.0000 0.5000 1
Ge4 0.5000 0.0928 0.7500 1
```


Entry 4:
Compound: PuTl2Br3Cl3
Source: Alexandria via LeMat-Bulk
Functional: GGA-PBE
Structure: optimized geometry

The calculation puts the uncorrected energy at -4.48 eV per atom. The formation energy from raw total energies comes out at -1191 meV/atom. The value obtained for the total magnetization is 4.02 μB per cell.

The structure in CIF format:
```
data_PuTl2Br3Cl3
_chemical_formula_sum 'Pu1 Tl2 Br3 Cl3'
_space_group_name_H-M_alt 'P 1'
_space_group_IT_number 1
_space_group_name_Hall 'P 1'
_cell_length_a 4.2047
_cell_length_b 8.3605
_cell_length_c 8.3605
_cell_angle_alpha 120.00
_cell_angle_beta 90.00
_cell_angle_gamma 90.00
loop_
_atom_site_label
_atom_site_fract_x
_atom_site_fract_y
_atom_site_fract_z
_atom_site_occupancy
Cl1 0.5000 0.7734 0.0000 1
Br1 0.0000 0.6272 0.6272 1
Cl2 0.5000 0.2266 0.2266 1
Br2 0.0000 0.0000 0.3728 1
Br3 0.0000 0.3728 0.0000 1
Cl3 0.5000 0.0000 0.7734 1
Pu1 0.0000 0.0000 0.0000 1
Tl1 0.5000 0.6667 0.3333 1
Tl2 0.5000 0.3333 0.6667 1
```


Entry 5:
Compound: Pr2As4Ir3Ru
Source: Alexandria via LeMat-Bulk
Functional: GGA-PBE
Structure: optimized geometry

The calculation puts the uncorrected energy at -7.17 eV per atom. The value obtained for the total magnetization is 0.00 μB per cell. The calculation puts the energy of formation at -17.7 kcal/mol of atoms.

The structure in CIF format:
```
data_Pr2As4Ir3Ru
_chemical_formula_sum 'Pr2 As4 Ir3 Ru1'
_space_group_name_H-M_alt 'P 1'
_space_group_IT_number 1
_space_group_name_Hall 'P 1'
_cell_length_a 4.3246
_cell_length_b 4.3246
_cell_length_c 10.0118
_cell_angle_alpha 90.00
_cell_angle_beta 90.00
_cell_angle_gamma 90.00
loop_
_atom_site_label
_atom_site_fract_x
_atom_site_fract_y
_atom_site_fract_z
_atom_site_occupancy
As1 0.0000 0.5000 0.3677 1
Pr1 0.0000 0.5000 0.7548 1
Ru1 0.5000 0.5000 0.5000 1
Ir1 0.0000 0.5000 0.1214 1
Ir2 0.5000 0.0000 0.8786 1
Pr2 0.5000 0.0000 0.2452 1
As2 0.0000 0.0000 0.0000 1
As3 0.5000 0.0000 0.6323 1
Ir3 0.0000 0.0000 0.5000 1
As4 0.5000 0.5000 0.0000 1
```


Entry 6:
Compound: MgTaSe2
Source: Alexandria via LeMat-Bulk
Functional: GGA-PBE
Structure: optimized geometry

The calculation puts the uncorrected energy at -5.57 eV per atom. The formation energy from raw total energies comes out at -464 meV/atom. The value obtained for the total magnetization is 0.00 μB per cell.

The structure in CIF format:
```
data_MgTaSe2
_chemical_formula_sum 'Mg1 Ta1 Se2'
_space_group_name_H-M_alt 'P 1'
_space_group_IT_number 1
_space_group_name_Hall 'P 1'
_cell_length_a 3.5049
_cell_length_b 3.5049
_cell_length_c 6.9585
_cell_angle_alpha 90.00
_cell_angle_beta 90.00
_cell_angle_gamma 90.00
loop_
_atom_site_label
_atom_site_fract_x
_atom_site_fract_y
_atom_site_fract_z
_atom_site_occupancy
Se1 0.0000 0.0000 0.8844 1
Se2 0.5000 0.5000 0.3507 1
Ta1 0.0000 0.0000 0.4984 1
Mg1 0.5000 0.5000 0.7664 1
```


Entry 7:
Compound: Tl2GaSn2
Source: Alexandria via LeMat-Bulk
Functional: GGA-PBE
Structure: optimized geometry

The calculation puts the uncorrected energy at -3.12 eV per atom. The value obtained for the total magnetization is 0.00 μB per cell. The calculation puts the energy of formation at 0.8 kcal/mol of atoms.

The structure in CIF format:
```
data_Tl2GaSn2
_chemical_formula_sum 'Tl4 Ga2 Sn4'
_space_group_name_H-M_alt 'P 1'
_space_group_IT_number 1
_space_group_name_Hall 'P 1'
_cell_length_a 4.6885
_cell_length_b 6.2324
_cell_length_c 10.8988
_cell_angle_alpha 84.55
_cell_angle_beta 77.58
_cell_angle_gamma 67.91
loop_
_atom_site_label
_atom_site_fract_x
_atom_site_fract_y
_atom_site_fract_z
_atom_site_occupancy
Ga1 0.6109 0.1074 0.6709 1
Sn1 0.6356 0.8369 0.8919 1
Sn2 0.8865 0.7623 0.4647 1
Tl1 0.9225 0.2691 0.8859 1
Tl2 0.0775 0.7309 0.1141 1
Sn3 0.3644 0.1631 0.1081 1
Ga2 0.3891 0.8926 0.3291 1
Tl3 0.6744 0.3427 0.3086 1
Sn4 0.1135 0.2377 0.5353 1
Tl4 0.3256 0.6573 0.6914 1
```


Entry 8:
Compound: K5Pb4
Source: Alexandria via LeMat-Bulk
Functional: GGA-PBE
Structure: optimized geometry

The calculation puts the uncorrected energy at -2.37 eV per atom. The value obtained for the total magnetization is 0.00 μB per cell. The calculation puts the energy of formation at -2.6 kcal/mol of atoms.

The structure in CIF format:
```
data_K5Pb4
_chemical_formula_sum 'K5 Pb4'
_space_group_name_H-M_alt 'P 1'
_space_group_IT_number 1
_space_group_name_Hall 'P 1'
_cell_length_a 6.0639
_cell_length_b 6.5282
_cell_length_c 11.1182
_cell_angle_alpha 91.14
_cell_angle_beta 74.17
_cell_angle_gamma 62.33
loop_
_atom_site_label
_atom_site_fract_x
_atom_site_fract_y
_atom_site_fract_z
_atom_site_occupancy
Pb1 0.5038 0.2002 0.7922 1
K1 0.0000 0.0000 0.0000 1
K2 0.1433 0.1699 0.5435 1
Pb2 0.4962 0.7998 0.2078 1
K3 0.2343 0.3899 0.1414 1
Pb3 0.3776 0.5971 0.6478 1
K4 0.7657 0.6101 0.8586 1
K5 0.8567 0.8301 0.4565 1
Pb4 0.6224 0.4029 0.3522 1
```